(1)
Material: MgGaRuAu
Method: DFT, PBE
State: relaxed

Cell: 6.2753 6.2753 6.2753 Å, 90.00 90.00 90.00°
Positions (direct):
Mg1 0.0000 0.0000 0.0000
Mg2 0.0000 0.5000 0.5000
Mg3 0.5000 0.0000 0.5000
Mg4 0.5000 0.5000 0.0000
Ga1 0.0000 0.0000 0.5000
Ga2 0.0000 0.5000 0.0000
Ga3 0.5000 0.0000 0.0000
Ga4 0.5000 0.5000 0.5000
Ru1 0.2500 0.2500 0.2500
Ru2 0.2500 0.7500 0.7500
Ru3 0.7500 0.2500 0.7500
Ru4 0.7500 0.7500 0.2500
Au1 0.2500 0.2500 0.7500
Au2 0.2500 0.7500 0.2500
Au3 0.7500 0.2500 0.2500
Au4 0.7500 0.7500 0.7500

Calculated values
**Formation energy from the elements**: -0.233 eV per atom
**Crystal system**: cubic
**Spin magnetization**: 0.00 Bohr magnetons per cell
**E_tot**: -4.527 eV/atom
**Theoretical density**: 10538 kg/m3


(2)
Material: SrCuSi2Pt
Method: DFT, PBE
State: relaxed

Cell: 4.4394 4.4394 5.5049 Å, 90.00 90.00 90.00°
Positions (direct):
Sr1 0.0000 0.0000 0.0000
Cu1 0.0000 0.0000 0.5000
Si1 0.0000 0.5000 0.5000
Si2 0.5000 0.0000 0.5000
Pt1 0.5000 0.5000 0.0000

Calculated values
**Crystal system**: tetragonal
**Spin magnetization**: 0.00 Bohr magnetons per cell
**E_tot**: -4.215 eV/atom
**Theoretical density**: 6159 kg/m3
**Formation energy (no corrections)**: 0.318 eV per atom